A relaxed ThCdPd crystal, computed with PBE-GGA.

Results
The energy relative to the elements comes out at -474 meV per atom.

Lattice parameters (Å, degrees): 4.8303 4.8303 3.4470 90.00 90.00 120.00
Space group P-6m2 (No. 187)
Inequivalent atoms, fractional coordinates:
1 Th 0.0000 0.0000 0.0000 [1 per cell]
2 Cd 0.3333 0.6667 0.5000 [1 per cell]
3 Pd 0.6667 0.3333 0.5000 [1 per cell]

=====

A relaxed ThCd2Pd crystal, computed with PBE-GGA.

Results
The energy relative to the elements comes out at 108 meV per atom.

Lattice parameters (Å, degrees): 3.2469 3.2469 32.2269 90.00 90.00 120.00
Space group R-3m (No. 166, hexagonal axes)
Inequivalent atoms, fractional coordinates:
1 Th 0.0000 0.0000 0.0000 [3 per cell]
2 Cd 0.0000 0.0000 0.1018 [6 per cell]
3 Pd 0.0000 0.0000 0.5000 [3 per cell]

=====

A relaxed ThCdPd6 crystal, computed with PBE-GGA.

Results
The energy relative to the elements comes out at -628 meV per atom.

Lattice parameters (Å, degrees): 5.8792 5.8792 4.6950 90.00 90.00 120.00
Space group P-6m2 (No. 187)
Inequivalent atoms, fractional coordinates:
1 Th 0.0000 0.0000 0.0000 [1 per cell]
2 Cd 0.6667 0.3333 0.5000 [1 per cell]
3 Pd 0.0029 0.5014 0.0000 [3 per cell]
4 Pd 0.1718 0.3436 0.5000 [3 per cell]

=====

A relaxed ThCd2Pd2 crystal, computed with PBE-GGA.

Results
The energy relative to the elements comes out at -507 meV per atom.

Lattice parameters (Å, degrees): 5.459 4.698 9.083 90.00 106.82 90.00
Space group P2_1/m (No. 11)
Inequivalent atoms, fractional coordinates:
1 Th 0.178 0.250 0.268 [2 per cell]
2 Cd 0.232 0.250 0.641 [2 per cell]
3 Cd 0.387 0.750 0.039 [2 per cell]
4 Pd 0.086 0.250 0.918 [2 per cell]
5 Pd 0.328 0.750 0.476 [2 per cell]

=====

A relaxed ThCd4Pd2 crystal, computed with PBE-GGA.

Results
The energy relative to the elements comes out at -360 meV per atom.

Lattice parameters (Å, degrees): 4.354 18.397 3.816 90.00 90.00 90.00
Space group Cmmm (No. 65)
Inequivalent atoms, fractional coordinates:
1 Th 0.000 0.000 0.000 [2 per cell]
2 Cd 0.000 0.169 0.500 [4 per cell]
3 Cd 0.000 0.311 0.000 [4 per cell]
4 Pd 0.000 0.428 0.500 [4 per cell]

=====

A relaxed ThCd2Pd8 crystal, computed with PBE-GGA.

Results
The energy relative to the elements comes out at -459 meV per atom.

Lattice parameters (Å, degrees): 5.035 5.073 7.698 92.39 97.05 98.21
Space group P-1 (No. 2)
Inequivalent atoms, fractional coordinates:
1 Th 0.000 0.000 0.000 [1 per cell]
2 Cd 0.187 0.404 0.708 [2 per cell]
3 Pd 0.102 0.166 0.363 [2 per cell]
4 Pd 0.280 0.538 0.091 [2 per cell]
5 Pd 0.365 0.734 0.450 [2 per cell]
6 Pd 0.444 0.929 0.809 [2 per cell]

=====

A relaxed ThCd5Pd6 crystal, computed with PBE-GGA.

Results
The energy relative to the elements comes out at -481 meV per atom.

Lattice parameters (Å, degrees): 4.624 7.021 7.193 90.00 106.17 90.00
Space group P2/m (No. 10)
Inequivalent atoms, fractional coordinates:
1 Th 0.000 0.000 0.000 [1 per cell]
2 Cd 0.000 0.500 0.000 [1 per cell]
3 Cd 0.332 0.000 0.651 [2 per cell]
4 Cd 0.341 0.500 0.669 [2 per cell]
5 Pd 0.158 0.257 0.332 [4 per cell]
6 Pd 0.500 0.254 0.000 [2 per cell]

=====

A relaxed ThCdPd crystal, computed with PBE-GGA.

Results
The energy relative to the elements comes out at -557 meV per atom.

Lattice parameters (Å, degrees): 4.764 10.096 5.862 90.00 90.00 90.00
Space group Cmcm (No. 63)
Inequivalent atoms, fractional coordinates:
1 Th 0.000 0.193 0.250 [4 per cell]
2 Cd 0.000 0.500 0.000 [4 per cell]
3 Pd 0.000 0.121 0.750 [4 per cell]

=====

A relaxed Th3CdPd12 crystal, computed with PBE-GGA.

Results
The energy relative to the elements comes out at -811 meV per atom.

Lattice parameters (Å, degrees): 4.197 4.197 16.498 90.00 90.00 90.00
Space group P4/mmm (No. 123)
Inequivalent atoms, fractional coordinates:
1 Th 0.000 0.000 0.000 [1 per cell]
2 Th 0.000 0.000 0.261 [2 per cell]
3 Cd 0.000 0.000 0.500 [1 per cell]
4 Pd 0.000 0.500 0.127 [4 per cell]
5 Pd 0.000 0.500 0.380 [4 per cell]
6 Pd 0.500 0.500 0.000 [1 per cell]
7 Pd 0.500 0.500 0.252 [2 per cell]
8 Pd 0.500 0.500 0.500 [1 per cell]

=====

A relaxed Th3Cd2Pd8 crystal, computed with PBE-GGA.

Results
The energy relative to the elements comes out at -533 meV per atom.

Lattice parameters (Å, degrees): 5.5438 5.5438 32.0586 90.00 90.00 120.00
Space group R-3m (No. 166, hexagonal axes)
Inequivalent atoms, fractional coordinates:
1 Th 0.0000 0.0000 0.0000 [3 per cell]
2 Th 0.0000 0.0000 0.2226 [6 per cell]
3 Cd 0.0000 0.0000 0.3924 [6 per cell]
4 Pd 0.0000 0.0000 0.3104 [6 per cell]
5 Pd 0.0049 0.5025 0.7974 [18 per cell]

=====

A relaxed ThCdPd6 crystal, computed with PBE-GGA.

Results
The energy relative to the elements comes out at -639 meV per atom.

Lattice parameters (Å, degrees): 4.176 4.176 8.069 90.00 90.00 90.00
Space group P4/mmm (No. 123)
Inequivalent atoms, fractional coordinates:
1 Th 0.000 0.000 0.000 [1 per cell]
2 Cd 0.000 0.000 0.500 [1 per cell]
3 Pd 0.000 0.500 0.256 [4 per cell]
4 Pd 0.500 0.500 0.000 [1 per cell]
5 Pd 0.500 0.500 0.500 [1 per cell]

=====

A relaxed ThCdPd crystal, computed with PBE-GGA.

Results
The energy relative to the elements comes out at -420 meV per atom.

Lattice parameters (Å, degrees): 3.452 3.452 11.613 90.00 90.00 90.00
Space group I4mm (No. 107)
Inequivalent atoms, fractional coordinates:
1 Th 0.000 0.000 0.000 [2 per cell]
2 Cd 0.000 0.000 0.296 [2 per cell]
3 Pd 0.000 0.000 0.660 [2 per cell]

=====

A relaxed ThCd3Pd7 crystal, computed with PBE-GGA.

Results
The energy relative to the elements comes out at -338 meV per atom.

Lattice parameters (Å, degrees): 8.957 9.626 5.465 90.00 113.70 90.00
Space group C2/m (No. 12)
Inequivalent atoms, fractional coordinates:
1 Th 0.000 0.000 0.000 [2 per cell]
2 Cd 0.000 0.282 0.500 [4 per cell]
3 Cd 0.000 0.500 0.000 [2 per cell]
4 Pd 0.000 0.000 0.500 [2 per cell]
5 Pd 0.175 0.259 0.179 [8 per cell]
6 Pd 0.206 0.500 0.542 [4 per cell]

=====

A relaxed Th2CdPd4 crystal, computed with PBE-GGA.

Results
The energy relative to the elements comes out at -437 meV per atom.

Lattice parameters (Å, degrees): 8.863 5.607 7.152 90.00 103.96 90.00
Space group C2/m (No. 12)
Inequivalent atoms, fractional coordinates:
1 Th 0.095 0.000 0.271 [4 per cell]
2 Cd 0.000 0.500 0.000 [2 per cell]
3 Pd 0.236 0.000 0.658 [4 per cell]
4 Pd 0.250 0.250 0.000 [4 per cell]

=====

A relaxed ThCd2Pd9 crystal, computed with PBE-GGA.

Results
The energy relative to the elements comes out at -490 meV per atom.

Lattice parameters (Å, degrees): 4.143 4.143 12.036 90.00 90.00 90.00
Space group P4/mmm (No. 123)
Inequivalent atoms, fractional coordinates:
1 Th 0.000 0.000 0.000 [1 per cell]
2 Cd 0.000 0.000 0.340 [2 per cell]
3 Pd 0.000 0.500 0.173 [4 per cell]
4 Pd 0.000 0.500 0.500 [2 per cell]
5 Pd 0.500 0.500 0.000 [1 per cell]
6 Pd 0.500 0.500 0.336 [2 per cell]

=====

A relaxed Th4CdPd crystal, computed with PBE-GGA.

Results
The energy relative to the elements comes out at -262 meV per atom.

Lattice parameters (Å, degrees): 7.610 7.610 5.835 90.00 90.00 90.00
Space group P4/mcc (No. 124)
Inequivalent atoms, fractional coordinates:
1 Th 0.147 0.334 0.000 [8 per cell]
2 Cd 0.500 0.500 0.250 [2 per cell]
3 Pd 0.000 0.000 0.250 [2 per cell]

=====

A relaxed ThTlCdPd crystal, computed with PBE-GGA.

Results
The energy relative to the elements comes out at -308 meV per atom.

Lattice parameters (Å, degrees): 7.245 7.245 7.245 90.00 90.00 90.00
Space group F-43m (No. 216)
Inequivalent atoms, fractional coordinates:
1 Th 0.000 0.000 0.000 [4 per cell]
2 Tl 0.250 0.250 0.250 [4 per cell]
3 Cd 0.000 0.000 0.500 [4 per cell]
4 Pd 0.250 0.250 0.750 [4 per cell]

=====

A relaxed YThCdPd crystal, computed with PBE-GGA.

Results
The energy relative to the elements comes out at -393 meV per atom.

Lattice parameters (Å, degrees): 7.388 7.388 7.388 90.00 90.00 90.00
Space group F-43m (No. 216)
Inequivalent atoms, fractional coordinates:
1 Y 0.000 0.000 0.000 [4 per cell]
2 Th 0.000 0.000 0.500 [4 per cell]
3 Cd 0.250 0.250 0.250 [4 per cell]
4 Pd 0.250 0.250 0.750 [4 per cell]

=====

A relaxed Th2Zn2CdPd5 crystal, computed with PBE-GGA.

Results
The energy relative to the elements comes out at -564 meV per atom.

Lattice parameters (Å, degrees): 10.039 10.039 3.775 90.00 90.00 90.00
Space group P4/mbm (No. 127)
Inequivalent atoms, fractional coordinates:
1 Th 0.179 0.321 0.000 [4 per cell]
2 Zn 0.118 0.618 0.000 [4 per cell]
3 Cd 0.000 0.000 0.000 [2 per cell]
4 Pd 0.000 0.500 0.500 [2 per cell]
5 Pd 0.065 0.789 0.500 [8 per cell]

=====

A relaxed ThZnCdPd crystal, computed with PBE-GGA.

Results
The energy relative to the elements comes out at -434 meV per atom.

Lattice parameters (Å, degrees): 6.978 6.978 6.978 90.00 90.00 90.00
Space group F-43m (No. 216)
Inequivalent atoms, fractional coordinates:
1 Th 0.000 0.000 0.000 [4 per cell]
2 Zn 0.250 0.250 0.250 [4 per cell]
3 Cd 0.000 0.000 0.500 [4 per cell]
4 Pd 0.250 0.250 0.750 [4 per cell]

=====

A relaxed Ti2CdPd6 crystal, computed with PBE-GGA.

Results
The energy relative to the elements comes out at -504 meV per atom.

Lattice parameters (Å, degrees): 8.862 3.954 8.463 90.00 106.31 90.00
Space group C2/m (No. 12)
Inequivalent atoms, fractional coordinates:
1 Ti 0.189 0.000 0.248 [4 per cell]
2 Cd 0.000 0.500 0.000 [2 per cell]
3 Pd 0.008 0.500 0.328 [4 per cell]
4 Pd 0.165 0.000 0.557 [4 per cell]
5 Pd 0.166 0.000 0.889 [4 per cell]

=====

A relaxed TiCd2Pd8 crystal, computed with PBE-GGA.

Results
The energy relative to the elements comes out at -205 meV per atom.

Lattice parameters (Å, degrees): 8.157 10.821 4.275 90.00 90.00 90.00
Space group Cmmm (No. 65)
Inequivalent atoms, fractional coordinates:
1 Ti 0.000 0.000 0.000 [2 per cell]
2 Cd 0.000 0.373 0.500 [4 per cell]
3 Pd 0.000 0.230 0.000 [4 per cell]
4 Pd 0.168 0.128 0.500 [8 per cell]
5 Pd 0.177 0.500 0.000 [4 per cell]

=====

A relaxed Ti2CdPd crystal, computed with PBE-GGA.

Results
The energy relative to the elements comes out at -181 meV per atom.

Lattice parameters (Å, degrees): 3.206 3.206 6.789 90.00 90.00 90.00
Space group P4/mmm (No. 123)
Inequivalent atoms, fractional coordinates:
1 Ti 0.000 0.000 0.224 [2 per cell]
2 Cd 0.500 0.500 0.500 [1 per cell]
3 Pd 0.500 0.500 0.000 [1 per cell]

=====

A relaxed Ti5CdPd6 crystal, computed with PBE-GGA.

Results
The energy relative to the elements comes out at -482 meV per atom.

Lattice parameters (Å, degrees): 4.783 5.795 6.904 90.00 93.00 90.00
Space group P2/m (No. 10)
Inequivalent atoms, fractional coordinates:
1 Ti 0.000 0.000 0.000 [1 per cell]
2 Ti 0.333 0.000 0.660 [2 per cell]
3 Ti 0.342 0.500 0.665 [2 per cell]
4 Cd 0.000 0.500 0.000 [1 per cell]
5 Pd 0.167 0.247 0.337 [4 per cell]
6 Pd 0.500 0.241 0.000 [2 per cell]